Entry 1:
Compound: InSbAu2
Source: Alexandria via LeMat-Bulk
Functional: PBE-GGA
Structure: relaxed

The value obtained for the energy relative to the lowest polymorph listed for this composition is 145 meV/atom. The uncorrected formation energy is 0.024 eV/atom. The calculation puts the magnetic moment at 0.00 μB per cell.

It has space group P4/mmm (No. 123), with a = 4.670 Å, b = 4.670 Å, c = 4.004 Å, α = 90.00°, β = 90.00° and γ = 90.00°. The asymmetric unit holds In at (0.000, 0.000, 0.000), Sb at (0.500, 0.500, 0.000) and Au at (0.000, 0.500, 0.500).



Entry 2:
Compound: In2Sb4Au
Source: Alexandria via LeMat-Bulk
Functional: PBE-GGA
Structure: relaxed

The uncorrected formation energy is 0.308 eV/atom. The calculation puts the magnetic moment at 0.00 μB per cell.

It has space group I4/mmm (No. 139), with a = 5.267 Å, b = 5.267 Å, c = 17.341 Å, α = 90.00°, β = 90.00° and γ = 90.00°. The asymmetric unit holds In at (0.000, 0.000, 0.099), Sb at (0.000, 0.000, 0.261), Sb at (0.000, 0.500, 0.000) and Au at (0.000, 0.000, 0.500).



Entry 3:
Compound: In12Sb5Au3
Source: Alexandria via LeMat-Bulk
Functional: PBE-GGA
Structure: relaxed

The uncorrected formation energy is -0.005 eV/atom. The calculation puts the magnetic moment at 0.00 μB per cell.

It has space group Ia-3d (No. 230), with a = 16.996 Å, b = 16.996 Å, c = 16.996 Å, α = 90.00°, β = 90.00° and γ = 90.00°. The asymmetric unit holds In at (0.018, 0.088, 0.653), Sb at (0.000, 0.000, 0.000), Sb at (0.000, 0.250, 0.375) and Au at (0.000, 0.250, 0.125).



Entry 4:
Compound: InSb4Au
Source: Alexandria via LeMat-Bulk
Functional: PBE-GGA
Structure: relaxed

The uncorrected formation energy is 0.322 eV/atom. The calculation puts the magnetic moment at 0.00 μB per cell.

It has space group F-43m (No. 216), with a = 8.821 Å, b = 8.821 Å, c = 8.821 Å, α = 90.00°, β = 90.00° and γ = 90.00°. The asymmetric unit holds In at (0.000, 0.000, 0.000), Sb at (0.123, 0.123, 0.623) and Au at (0.250, 0.250, 0.250).



Entry 5:
Compound: InSbAu2
Source: Alexandria via LeMat-Bulk
Functional: PBE-GGA
Structure: relaxed

The value obtained for the energy relative to the lowest polymorph listed for this composition is 162 meV/atom. The uncorrected formation energy is 0.041 eV/atom. The calculation puts the magnetic moment at 0.00 μB per cell.

It has space group P4mm (No. 99), with a = 3.474 Å, b = 3.474 Å, c = 7.479 Å, α = 90.00°, β = 90.00° and γ = 90.00°. The asymmetric unit holds In at (0.000, 0.000, 0.000), Sb at (0.500, 0.500, 0.333), Au at (0.000, 0.000, 0.555) and Au at (0.500, 0.500, 0.779).



Entry 6:
Compound: In2SbAu6
Source: Alexandria via LeMat-Bulk
Functional: PBE-GGA
Structure: relaxed

The uncorrected formation energy is -0.065 eV/atom. The calculation puts the magnetic moment at 0.00 μB per cell.

It has space group C2/m (No. 12), with a = 8.744 Å, b = 5.015 Å, c = 8.666 Å, α = 90.00°, β = 96.24° and γ = 90.00°. The asymmetric unit holds In at (0.221, 0.000, 0.313), Sb at (0.000, 0.500, 0.000), Au at (0.055, 0.500, 0.340), Au at (0.113, 0.000, 0.637) and Au at (0.164, 0.000, 0.978).



Entry 7:
Compound: InSbAu6
Source: Alexandria via LeMat-Bulk
Functional: PBE-GGA
Structure: relaxed

The value obtained for the energy relative to the lowest polymorph listed for this composition is 23 meV/atom. The uncorrected formation energy is -0.021 eV/atom. The calculation puts the magnetic moment at 0.00 μB per cell.

It has space group P4/mmm (No. 123), with a = 4.273 Å, b = 4.273 Å, c = 8.544 Å, α = 90.00°, β = 90.00° and γ = 90.00°. The asymmetric unit holds In at (0.000, 0.000, 0.000), Sb at (0.000, 0.000, 0.500), Au at (0.000, 0.500, 0.244), Au at (0.500, 0.500, 0.000) and Au at (0.500, 0.500, 0.500).



Entry 8:
Compound: In2SbAu3
Source: Alexandria via LeMat-Bulk
Functional: PBE-GGA
Structure: relaxed

The uncorrected formation energy is -0.100 eV/atom. The calculation puts the magnetic moment at 0.00 μB per cell.

It has space group C2/c (No. 15), with a = 11.100 Å, b = 8.692 Å, c = 6.926 Å, α = 90.00°, β = 109.95° and γ = 90.00°. The asymmetric unit holds In at (0.163, 0.001, 0.086), Sb at (0.000, 0.489, 0.250), Au at (0.000, 0.168, 0.250) and Au at (0.169, 0.339, 0.076).



Number 1: calculated total energy -3.330 eV/atom. Number 2: calculated total energy -3.298 eV/atom. Number 3: calculated total energy -3.170 eV/atom. Number 4: calculated total energy -3.429 eV/atom. Number 5: calculated total energy -3.313 eV/atom. Number 6: calculated total energy -3.317 eV/atom. Number 7: calculated total energy -3.337 eV/atom. Number 8: calculated total energy -3.338 eV/atom.